1.
The following is a PBE-GGA calculation of a relaxed structure of Sm2YHo2, from the Alexandria database.

Cell lengths 9.299, 9.299, 3.775 Å; angles 90.00, 90.00, 90.00 degrees
Space group P4/mbm (No. 127)
Unique sites:
1 Sm 0.130 0.370 0.000 [4 per cell]
2 Y 0.000 0.000 0.000 [2 per cell]
3 Ho 0.169 0.669 0.500 [4 per cell]

Computed properties:
Energy relative to the lowest polymorph listed for this composition: 0.20 eV per formula unit
ΔH_f (0 K): 0.083 eV/atom
Crystal system: tetragonal
DFT total energy: -49.28 eV for the cell shown

=====

2.
The following is a PBE-GGA calculation of a relaxed structure of KHPt2S, from the Alexandria database.

Cell lengths 4.512, 4.512, 4.928 Å; angles 90.00, 90.00, 90.00 degrees
Space group P4/mmm (No. 123)
Unique sites:
1 K 0.000 0.000 0.000 [1 per cell]
2 H 0.500 0.500 0.000 [1 per cell]
3 Pt 0.000 0.500 0.500 [2 per cell]
4 S 0.500 0.500 0.500 [1 per cell]

Computed properties:
Crystal system: tetragonal
DFT total energy: -19.32 eV for the cell shown

=====

3.
The following is a PBE-GGA calculation of a relaxed structure of MnAl3Ga, from the Alexandria database.

Cell lengths 4.948, 9.734, 6.494 Å; angles 90.00, 90.00, 90.00 degrees
Space group Imma (No. 74)
Unique sites:
1 Mn 0.000 0.250 0.077 [4 per cell]
2 Al 0.000 0.117 0.401 [8 per cell]
3 Al 0.250 0.250 0.750 [4 per cell]
4 Ga 0.000 0.000 0.000 [4 per cell]

Computed properties:
Energy relative to the lowest polymorph listed for this composition: 0.00 eV per formula unit
ΔH_f (0 K): -0.133 eV/atom
Crystal system: orthorhombic
DFT total energy: -96.36 eV for the cell shown

=====

4.
The following is a PBE-GGA calculation of a relaxed structure of CsSc2Ni, from the Alexandria database.

Cell lengths 7.829, 7.829, 10.949 Å; angles 90.00, 90.00, 90.00 degrees
Space group I4_1/amd (No. 141, origin choice 2)
Unique sites:
1 Cs 0.000 0.250 0.375 [4 per cell]
2 Sc 0.000 0.000 0.000 [8 per cell]
3 Ni 0.000 0.250 0.875 [4 per cell]

Computed properties:
Energy relative to the lowest polymorph listed for this composition: 1.49 eV per formula unit
ΔH_f (0 K): 0.551 eV/atom
Crystal system: tetragonal
DFT total energy: -68.37 eV for the cell shown

=====

5.
The following is a PBE-GGA calculation of a relaxed structure of K3ZnAs2, from the Alexandria database.

Cell lengths 8.268, 14.072, 6.750 Å; angles 90.00, 90.00, 90.00 degrees
Space group Ibam (No. 72)
Unique sites:
1 K 0.000 0.000 0.250 [4 per cell]
2 K 0.182 0.320 0.000 [8 per cell]
3 Zn 0.000 0.500 0.250 [4 per cell]
4 As 0.184 0.411 0.500 [8 per cell]

Computed properties:
Energy relative to the lowest polymorph listed for this composition: 0.00 eV per formula unit
ΔH_f (0 K): -0.327 eV/atom
Crystal system: orthorhombic
DFT total energy: -63.32 eV for the cell shown

=====

It is found that the volume values, taken in the order of the records, are 32.639 20.066 15.639 41.941 32.722 Å³/atom.